(1)
The following is a DFT calculation (PBE) of a relaxed Hf2ZnSb crystal.

POSCAR file:
```
Hf2ZnSb
1.0
4.266 -2.200 0.817
2.021 0.175 4.426
0.183 -4.012 2.753
Sb Zn Hf
1 1 2
Cartesian
3.235 -3.018 3.998
0.000 0.000 0.000
1.617 -1.509 1.999
4.852 -4.527 5.997
```

Values from the calculation:
Its space group is Fm-3m (225). As for the total DFT energy (no corrections): -6.44 eV/atom.

(2)
The following is a DFT calculation (PBE) of a relaxed Hf6ZnSb3 crystal.

POSCAR file:
```
Hf6ZnSb3
1.0
6.972 0.000 0.000
0.000 8.527 -0.431
0.000 -2.323 8.215
Hf Zn Sb
12 2 6
Cartesian
1.154 4.872 4.617
4.640 3.413 5.779
1.598 1.454 7.394
5.084 6.883 3.067
1.694 -2.012 7.968
4.307 0.407 6.040
0.821 5.796 1.745
5.180 8.216 -0.183
1.598 -0.680 4.718
5.084 4.750 0.390
1.154 2.791 2.005
4.640 1.332 3.168
6.716 -0.591 6.835
3.229 6.795 0.949
3.650 6.050 5.473
0.164 3.985 7.119
2.266 2.178 4.629
5.752 4.026 3.156
0.164 0.153 2.312
3.650 2.219 0.665
```

Values from the calculation:
Its space group is Cmc2_1 (36). As for the total DFT energy (no corrections): -7.45 eV/atom.